# 1
Here is a relaxed SeBr5 crystal from Alexandria. Energies are from PBE.

Output
The calculation puts the total moment at 0.00 μB/cell. The density of states at the Fermi level is 0.683 states/eV/atom. Its space group is No. 123. The calculation puts the raw formation energy at 0.248 eV per atom.

Cell lengths 2.8294, 2.8294, 25.7552 Å; angles 90.00, 90.00, 90.00 degrees
Closest atoms and distances in Å follow each position.
Sites, in units of the cell vectors:
Se1 0.5000 0.5000 0.0000  4 Se 2.83
Br1 0.5000 0.5000 0.6658  4 Br 2.83
Br2 0.0000 0.0000 0.5000  4 Br 2.83
Br3 0.0000 0.0000 0.1690  4 Br 2.83
Br4 0.5000 0.5000 0.3342  4 Br 2.83
Br5 0.0000 0.0000 0.8310  4 Br 2.83

***

# 2
Here is a relaxed Se4Br5 crystal from Alexandria. Energies are from PBE.

Output
The calculation puts the total moment at 0.02 μB/cell. The density of states at the Fermi level is 1.112 states/eV/atom. Its space group is No. 193. The calculation puts the raw formation energy at 0.184 eV per atom.

Cell lengths 13.3790, 13.3790, 5.1661 Å; angles 90.00, 90.00, 120.00 degrees
Closest atoms and distances in Å follow each position.
Sites, in units of the cell vectors:
Se1 0.0000 0.0000 0.5000  2 Se 2.58
Br1 0.3333 0.6667 0.5000  2 Br 2.58
Se2 0.0000 0.5019 0.2500  1 Br 2.33, 2 Se 2.58
Se3 0.4981 0.0000 0.7500  1 Br 2.33, 2 Se 2.58
Br2 0.3240 0.3240 0.2500  1 Se 2.33
Br3 0.6667 0.3333 0.5000  2 Br 2.58
Br4 0.0000 0.3240 0.7500  1 Se 2.33
Br5 0.6760 0.6760 0.7500  1 Se 2.33
Br6 0.0000 0.6760 0.2500  1 Se 2.33
Se4 0.5019 0.5019 0.7500  1 Br 2.33, 2 Se 2.58
Br7 0.3240 0.0000 0.7500  1 Se 2.33
Se5 0.5019 0.0000 0.2500  1 Br 2.33, 2 Se 2.58
Se6 0.4981 0.4981 0.2500  1 Br 2.33, 2 Se 2.58
Br8 0.3333 0.6667 0.0000  2 Br 2.58
Se7 0.0000 0.4981 0.7500  1 Br 2.33, 2 Se 2.58
Br9 0.6760 0.0000 0.2500  1 Se 2.33
Se8 0.0000 0.0000 0.0000  2 Se 2.58
Br10 0.6667 0.3333 0.0000  2 Br 2.58

***

# 3
Here is a relaxed Se5Br crystal from Alexandria. Energies are from PBE.

Output
The calculation puts the total moment at 0.00 μB/cell. The density of states at the Fermi level is 0.561 states/eV/atom. Its space group is No. 123. For the distance to the lowest polymorph of the same formula, the calculation gives 0.0101 eV/atom. The calculation puts the raw formation energy at 0.178 eV per atom.

Cell lengths 3.8804, 3.8804, 10.9616 Å; angles 90.00, 90.00, 90.00 degrees
Closest atoms and distances in Å follow each position.
Sites, in units of the cell vectors:
Se1 0.0000 0.0000 0.2660  5 Se 2.56-2.76
Se2 0.0000 0.0000 0.7340  5 Se 2.56-2.76
Br1 0.5000 0.5000 0.0000  2 Se 2.63
Se3 0.5000 0.5000 0.7599  1 Br 2.63, 4 Se 2.76
Se4 0.5000 0.5000 0.2401  1 Br 2.63, 4 Se 2.76
Se5 0.0000 0.0000 0.5000  2 Se 2.56

***

# 4
Here is a relaxed Se8Br crystal from Alexandria. Energies are from PBE.

Output
The calculation puts the total moment at 0.00 μB/cell. The density of states at the Fermi level is 0.438 states/eV/atom. Its space group is No. 139. The calculation puts the raw formation energy at 0.352 eV per atom.

Cell lengths 7.0334, 7.0334, 7.0334 Å; angles 97.72, 97.72, 137.01 degrees
Closest atoms and distances in Å follow each position.
Sites, in units of the cell vectors:
Se1 0.0000 0.6393 0.6393  3 Se 2.58-2.71
Se2 0.0000 0.3607 0.3607  3 Se 2.58-2.71
Se3 0.7177 0.2823 0.0000  4 Se 2.71
Se4 0.3607 0.0000 0.3607  3 Se 2.58-2.71
Br1 0.0000 0.0000 0.0000  8 Se 3.34-3.69
Se5 0.2823 0.2823 0.5646  4 Se 2.71
Se6 0.7177 0.7177 0.4354  4 Se 2.71
Se7 0.2823 0.7177 0.0000  4 Se 2.71
Se8 0.6393 0.0000 0.6393  3 Se 2.58-2.71

***

# 5
Here is a relaxed Se4Br3 crystal from Alexandria. Energies are from PBE.

Output
The calculation puts the total moment at 0.00 μB/cell. The density of states at the Fermi level is 0.855 states/eV/atom. Its space group is No. 191. The calculation puts the raw formation energy at 0.536 eV per atom.

Cell lengths 7.2282, 7.2282, 4.5091 Å; angles 90.00, 90.00, 120.00 degrees
Closest atoms and distances in Å follow each position.
Sites, in units of the cell vectors:
Se1 0.6667 0.3333 0.5000  6 Br 3.07
Br1 0.5000 0.0000 0.0000  4 Se 3.07
Br2 0.0000 0.5000 0.0000  4 Se 3.07
Br3 0.5000 0.5000 0.0000  4 Se 3.07
Se2 0.3333 0.6667 0.5000  6 Br 3.07
Se3 0.0000 0.0000 0.7471  2 Se 2.23-2.28
Se4 0.0000 0.0000 0.2529  2 Se 2.23-2.28

***

# 6
Here is a relaxed SeBr4 crystal from Alexandria. Energies are from PBE.

Output
The calculation puts the total moment at 0.00 μB/cell. The density of states at the Fermi level is 1.537 states/eV/atom. Its space group is No. 229. For the distance to the lowest polymorph of the same formula, the calculation gives 0.5143 eV/atom. The calculation puts the raw formation energy at 0.394 eV per atom.

Cell lengths 5.7895, 5.7895, 5.7895 Å; angles 109.47, 109.47, 109.47 degrees
Closest atoms and distances in Å follow each position.
Sites, in units of the cell vectors:
Br1 0.5000 0.0000 0.0000  2 Se 2.89
Se1 0.0000 0.0000 0.0000  8 Br 2.89
Br2 0.5000 0.5000 0.5000  2 Se 2.89
Br3 0.0000 0.5000 0.0000  2 Se 2.89
Br4 0.0000 0.0000 0.5000  2 Se 2.89

***

# 7
Here is a relaxed Se7Br crystal from Alexandria. Energies are from PBE.

Output
The calculation puts the total moment at 0.00 μB/cell. The density of states at the Fermi level is 0.873 states/eV/atom. Its space group is No. 225. The calculation puts the raw formation energy at 0.747 eV per atom.

Cell lengths 6.1916, 6.1916, 6.1916 Å; angles 60.00, 60.00, 60.00 degrees
Closest atoms and distances in Å follow each position.
Sites, in units of the cell vectors:
Se1 0.5000 0.5000 0.0000  10 Se 3.10, 2 Br 3.10
Se2 0.5000 0.0000 0.5000  10 Se 3.10, 2 Br 3.10
Se3 0.5000 0.0000 0.0000  10 Se 3.10, 2 Br 3.10
Se4 0.0000 0.0000 0.5000  10 Se 3.10, 2 Br 3.10
Se5 0.0000 0.5000 0.0000  10 Se 3.10, 2 Br 3.10
Br1 0.0000 0.0000 0.0000  12 Se 3.10
Se6 0.5000 0.5000 0.5000  12 Se 3.10
Se7 0.0000 0.5000 0.5000  10 Se 3.10, 2 Br 3.10

***

# 8
Here is a relaxed Se3Br5 crystal from Alexandria. Energies are from PBE.

Output
The calculation puts the total moment at 0.70 μB/cell. The density of states at the Fermi level is 0.571 states/eV/atom. Its space group is No. 8. For the distance to the lowest polymorph of the same formula, the calculation gives 0.0000 eV/atom. The calculation puts the raw formation energy at 0.103 eV per atom.

Cell lengths 9.7075, 12.1866, 8.5540 Å; angles 109.53, 95.33, 131.77 degrees
Closest atoms and distances in Å follow each position.
Sites, in units of the cell vectors:
Br1 0.8910 0.8024 0.7889  1 Se 2.40
Br2 0.8679 0.3324 0.5000  2 Se 2.77
Br3 0.8709 0.2082 0.8640  1 Se 2.41
Br4 0.3241 0.7353 0.5000  1 Se 2.35
Se1 0.1937 0.5802 0.8542  1 Br 2.41
Br5 0.1125 0.8566 0.2127  1 Se 2.37
Br6 0.3998 0.1439 0.7873  1 Se 2.37
Se2 0.3330 0.2548 0.5000  2 Br 2.49
Br7 0.6020 0.5134 0.2111  1 Se 2.40
Br8 0.3108 0.4237 0.7338  1 Se 2.49
Se3 0.8395 0.2260 0.1458  1 Br 2.41
Se4 0.5807 0.9892 0.5000  1 Br 2.35
Br9 0.0771 0.1900 0.2662  1 Se 2.49
Se5 0.2971 0.2052 0.0108  2 Br 2.37-2.40
Se6 0.7863 0.6945 0.9892  2 Br 2.37-2.40
Br10 0.5070 0.8442 0.1360  1 Se 2.41

***

# 9
Here is a relaxed SeBr4 crystal from Alexandria. Energies are from PBE.

Output
The calculation puts the total moment at 1.02 μB/cell. The density of states at the Fermi level is 1.190 states/eV/atom. Its space group is No. 221. For the distance to the lowest polymorph of the same formula, the calculation gives 0.3535 eV/atom. The calculation puts the raw formation energy at 0.233 eV per atom.

Cell lengths 5.3203, 5.3203, 5.3203 Å; angles 90.00, 90.00, 90.00 degrees
Closest atoms and distances in Å follow each position.
Sites, in units of the cell vectors:
Br1 0.5000 0.0000 0.5000  2 Se 2.66
Br2 0.0000 0.0000 0.0000  12 Br 3.76
Br3 0.0000 0.5000 0.5000  2 Se 2.66
Br4 0.5000 0.5000 0.0000  2 Se 2.66
Se1 0.5000 0.5000 0.5000  6 Br 2.66

***

# 10
Here is a relaxed Se2Br3 crystal from Alexandria. Energies are from PBE.

Output
The calculation puts the total moment at 0.00 μB/cell. The density of states at the Fermi level is 0.729 states/eV/atom. Its space group is No. 43. The calculation puts the raw formation energy at 0.064 eV per atom.

Cell lengths 3.6596, 6.0098, 17.4552 Å; angles 88.17, 83.98, 72.27 degrees
Closest atoms and distances in Å follow each position.
Sites, in units of the cell vectors:
Se1 0.3441 0.5670 0.9526  2 Se 2.58, 3 Br 2.61-2.85
Br1 0.3524 0.5000 0.5000  2 Se 2.61
Se2 0.5467 0.0670 0.5474  2 Se 2.58, 3 Br 2.61-2.85
Br2 0.1024 0.0000 0.0000  2 Se 2.61
Br3 0.3253 0.3694 0.1699  2 Se 2.81-2.85
Br4 0.9447 0.1306 0.6699  2 Se 2.81-2.85
Se3 0.8637 0.4330 0.0474  2 Se 2.58, 3 Br 2.61-2.85
Br5 0.7452 0.8694 0.3301  2 Se 2.81-2.85
Br6 0.8646 0.6306 0.8301  2 Se 2.81-2.85
Se4 0.1611 0.9330 0.4526  2 Se 2.58, 3 Br 2.61-2.85

***

# 11
Here is a relaxed SiSe2Br2 crystal from Alexandria. Energies are from PBE.

Output
The calculation puts the total moment at 0.00 μB/cell. The density of states at the Fermi level is 0.233 states/eV/atom. Its space group is No. 139. For the distance to the lowest polymorph of the same formula, the calculation gives 0.0000 eV/atom. The calculation puts the raw formation energy at 0.121 eV per atom.

Cell lengths 3.6450, 3.6450, 12.1617 Å; angles 81.38, 81.38, 90.00 degrees
Closest atoms and distances in Å follow each position.
Sites, in units of the cell vectors:
Br1 0.5688 0.5688 0.8624  4 Si 3.05, 1 Br 3.27
Se1 0.2500 0.7500 0.5000  4 Se 2.58
Se2 0.7500 0.2500 0.5000  4 Se 2.58
Br2 0.4312 0.4312 0.1376  4 Si 3.05, 1 Br 3.27
Si1 0.0000 0.0000 0.0000  8 Br 3.05

***

# 12
Here is a relaxed Si3SeBr crystal from Alexandria. Energies are from PBE.

Output
The calculation puts the total moment at 1.29 μB/cell. The density of states at the Fermi level is 0.714 states/eV/atom. Its space group is No. 221. For the distance to the lowest polymorph of the same formula, the calculation gives 0.0000 eV/atom. The calculation puts the raw formation energy at 1.095 eV per atom.

Cell lengths 5.1344, 5.1344, 5.1344 Å; angles 90.00, 90.00, 90.00 degrees
Closest atoms and distances in Å follow each position.
Sites, in units of the cell vectors:
Br1 0.5000 0.5000 0.5000  12 Si 3.63
Si1 0.5000 0.0000 0.0000  2 Se 2.57
Se1 0.0000 0.0000 0.0000  6 Si 2.57
Si2 0.0000 0.5000 0.0000  2 Se 2.57
Si3 0.0000 0.0000 0.5000  2 Se 2.57

***

| no. | ρ (Mg/m³) |
| --- | --- |
| 1 | 3.853 |
| 2 | 2.967 |
| 3 | 4.776 |
| 4 | 5.353 |
| 5 | 4.522 |
| 6 | 4.431 |
| 7 | 6.259 |
| 8 | 3.325 |
| 9 | 4.395 |
| 10 | 3.631 |
| 11 | 3.636 |
| 12 | 2.983 |